w:
PrNdI | PBE-GGA | relaxed

Unit cell a=5.0535 b=5.0535 c=10.2610 alpha=75.74 beta=75.74 gamma=60.00
Atoms (fractional coordinates):
Pr1 0.8771 0.8771 0.3688
I1 0.4069 0.4069 0.7793
I2 0.5931 0.5931 0.2207
Pr2 0.1229 0.1229 0.6312
Nd1 0.2950 0.2950 0.1150
Nd2 0.7050 0.7050 0.8850

DOS at the Fermi energy (states/eV per atom): 0.993
Magnetic moment (μB/atom): 0.000

***

x:
PrNdI | PBE-GGA | relaxed

Unit cell a=3.9553 b=3.9553 c=7.9217 alpha=90.00 beta=90.00 gamma=120.00
Each line ends with the local moment (μB).
Atoms (fractional coordinates):
I1 0.6667 0.3333 0.3313  0.00
Nd1 0.0000 0.0000 0.0134  0.10
Pr1 0.3333 0.6667 0.6553  0.09

DOS at the Fermi energy (states/eV per atom): 1.236
Magnetic moment (μB/atom): 0.149

***

Stability summary: most stable x, least stable w.

***

w:
PrNdI6 | PBE-GGA | relaxed

Unit cell a=7.7357 b=9.1063 c=8.2099 alpha=106.10 beta=98.32 gamma=126.05
Atoms (fractional coordinates):
Pr1 0.0000 0.0000 0.0000
Nd1 0.0000 0.5000 0.0000
I1 0.4984 0.7489 0.0000
I2 0.1504 0.4020 0.3009
I3 0.8495 0.1011 0.6991
I4 0.5016 0.2511 0.0000
I5 0.8496 0.5980 0.6991
I6 0.1505 0.8989 0.3009

DOS at the Fermi energy (states/eV per atom): 0.000
Magnetic moment (μB/atom): 0.000

***

x:
PrNdI6 | PBE-GGA | relaxed

Unit cell a=7.8195 b=7.8200 c=8.4224 alpha=62.36 beta=62.36 gamma=59.98
Atoms (fractional coordinates):
I1 0.9136 0.5844 0.2509
I2 0.0864 0.4156 0.7491
I3 0.7486 0.0865 0.7493
I4 0.2514 0.9135 0.2507
I5 0.4155 0.7488 0.7491
Pr1 0.0000 0.0000 0.0000
I6 0.5845 0.2512 0.2509
Nd1 0.5000 0.5000 0.5000

DOS at the Fermi energy (states/eV per atom): 0.000
Magnetic moment (μB/atom): 0.000

***

Stability summary: most stable w, least stable x.

***

w:
PrNdTeI | PBE-GGA | relaxed

Unit cell a=4.6388 b=4.6388 c=7.8144 alpha=72.73 beta=72.73 gamma=60.00
Atoms (fractional coordinates):
Te1 0.8564 0.8564 0.4308
Nd1 0.1226 0.1226 0.6321
Pr1 0.5922 0.5922 0.2235
I1 0.3582 0.3582 0.9255

DOS at the Fermi energy (states/eV per atom): 0.479
Magnetic moment (μB/atom): 0.000

***

x:
PrNdTeI | PBE-GGA | relaxed

Unit cell a=5.5064 b=5.5064 c=5.5064 alpha=60.00 beta=60.00 gamma=60.00
Atoms (fractional coordinates):
Pr1 0.0000 0.0000 0.0000
Te1 0.2500 0.2500 0.2500
Nd1 0.5000 0.5000 0.5000
I1 0.7500 0.7500 0.7500

DOS at the Fermi energy (states/eV per atom): 0.734
Magnetic moment (μB/atom): 0.000

***

Stability summary: most stable x, least stable w.

***

w:
Nd4Pt2I5 | PBE-GGA | relaxed

Unit cell a=4.1199 b=8.8131 c=15.1385 alpha=106.92 beta=97.82 gamma=90.00
Atoms (fractional coordinates):
I1 0.8268 0.0789 0.6536
I2 0.5000 0.0000 0.0000
Nd1 0.0000 0.6943 0.0000
Nd2 0.6428 0.6428 0.2855
I3 0.1732 0.9211 0.3464
I4 0.8268 0.5747 0.6536
Pt1 0.4528 0.4528 0.9056
Nd3 0.0000 0.3057 0.0000
Nd4 0.3572 0.3572 0.7145
Pt2 0.5472 0.5472 0.0944
I5 0.1732 0.4253 0.3464

DOS at the Fermi energy (states/eV per atom): 0.622
Magnetic moment (μB/atom): 0.000

***

x:
Nd4Pt2I5 | PBE-GGA | relaxed

Unit cell a=4.1284 b=8.7365 c=12.6641 alpha=89.65 beta=99.38 gamma=90.00
Atoms (fractional coordinates):
I1 0.2123 0.3079 0.4247
Nd1 0.6598 0.5426 0.3196
Nd2 0.9845 0.3036 0.9691
I2 0.1434 0.8197 0.2868
Pt1 0.4461 0.5240 0.8923
Nd3 0.3402 0.4574 0.6804
I3 0.7877 0.6921 0.5753
Nd4 0.0155 0.6964 0.0309
I4 0.8566 0.1803 0.7132
I5 0.5000 0.0000 0.0000
Pt2 0.5539 0.4760 0.1077

DOS at the Fermi energy (states/eV per atom): 0.740
Magnetic moment (μB/atom): 0.000

***

Stability summary: most stable x, least stable w.

***

w:
NdPuI4 | PBE-GGA | relaxed

Unit cell a=6.3214 b=6.3214 c=7.6248 alpha=114.49 beta=114.49 gamma=90.00
Each line ends with the local moment (μB).
Atoms (fractional coordinates):
I1 0.5080 0.0080 0.0160  -0.03
I2 0.9920 0.4920 0.9840  -0.03
Nd1 0.2500 0.7500 0.5000  0.30
I3 0.7578 0.7578 0.5156  -0.02
I4 0.2422 0.2422 0.4844  -0.02
Pu1 0.5000 0.5000 0.0000  5.74

DOS at the Fermi energy (states/eV per atom): 2.352
Magnetic moment (μB/atom): 1.112

***

x:
NdPuI4 | PBE-GGA | relaxed

Unit cell a=10.1858 b=10.1858 c=16.2362 alpha=48.91 beta=48.91 gamma=24.29
Each line ends with the local moment (μB).
Atoms (fractional coordinates):
Nd1 0.2501 0.7499 0.2500  0.25
I1 0.1908 0.6911 0.9344  -0.01
I2 0.5584 0.0585 0.8179  -0.03
I3 0.6911 0.1908 0.4344  -0.01
I4 0.9415 0.4416 0.6821  -0.03
Nd2 0.7499 0.2501 0.7500  0.25
Pu1 0.5000 0.0000 0.5000  5.71
Pu2 0.0000 0.5000 0.0000  5.71
I5 0.4416 0.9415 0.1821  -0.03
I6 0.3089 0.8092 0.5656  -0.01
I7 0.8092 0.3089 0.0656  -0.01
I8 0.0585 0.5584 0.3179  -0.03

DOS at the Fermi energy (states/eV per atom): 2.184
Magnetic moment (μB/atom): 1.103

***

Stability summary: most stable x, least stable w.

***

w:
RbNdI4 | PBE-GGA | relaxed

Unit cell a=7.7282 b=9.5440 c=9.4519 alpha=113.98 beta=106.69 gamma=103.94
Atoms (fractional coordinates):
Rb1 0.3849 0.6349 0.2698
I1 0.6437 0.3325 0.1284
Rb2 0.6151 0.3651 0.7302
I2 0.1915 0.2649 0.3185
I3 0.9847 0.7959 0.1284
I4 0.0153 0.2041 0.8716
Nd1 0.7502 0.0002 0.0004
Nd2 0.2498 0.9998 0.9996
I5 0.8085 0.7351 0.6815
I6 0.3563 0.6675 0.8716
I7 0.3729 0.9464 0.6815
I8 0.6271 0.0536 0.3185

Magnetic moment (μB/atom): 0.000

***

x:
RbNdI4 | PBE-GGA | relaxed

Unit cell a=8.1015 b=10.7310 c=10.7310 alpha=118.06 beta=99.90 gamma=99.90
Atoms (fractional coordinates):
Rb1 0.7500 0.2324 0.2676
I1 0.7056 0.0043 0.8688
I2 0.8471 0.8932 0.2759
I3 0.3471 0.7759 0.3932
Nd1 0.2500 0.0674 0.4326
I4 0.1529 0.1068 0.7241
Nd2 0.7500 0.9326 0.5674
I5 0.6529 0.2241 0.6068
I6 0.7944 0.6312 0.4957
I7 0.2944 0.9957 0.1312
Rb2 0.2500 0.7676 0.7324
I8 0.2056 0.3688 0.5043

DOS at the Fermi energy (states/eV per atom): 0.000
Magnetic moment (μB/atom): 0.000

***

Stability summary: most stable x, least stable w.

***

w:
RbNdI3 | PBE-GGA | relaxed

Unit cell a=6.2425 b=6.2425 c=6.2425 alpha=90.00 beta=90.00 gamma=90.00
Atoms (fractional coordinates):
Nd1 0.0000 0.0000 0.0000
I1 0.5000 0.0000 0.0000
Rb1 0.5000 0.5000 0.5000
I2 0.0000 0.5000 0.0000
I3 0.0000 0.0000 0.5000

DOS at the Fermi energy (states/eV per atom): 0.719
Magnetic moment (μB/atom): 0.000

***

x:
RbNdI3 | PBE-GGA | relaxed

Unit cell a=7.0194 b=8.7777 c=8.7781 alpha=120.00 beta=89.99 gamma=90.01
Each line ends with the local moment (μB).
Atoms (fractional coordinates):
I1 0.7500 0.1761 0.3523  0.00
Nd1 0.5000 0.0000 0.0000  0.12
I2 0.7500 0.6477 0.8239  0.00
Nd2 0.0000 0.0000 0.0000  0.12
I3 0.2500 0.8239 0.6477  0.00
Rb1 0.2502 0.3332 0.6666  0.00
Rb2 0.7498 0.6668 0.3334  0.00
I4 0.2500 0.3523 0.1761  0.00
I5 0.2499 0.8239 0.1761  0.00
I6 0.7501 0.1761 0.8239  0.00

DOS at the Fermi energy (states/eV per atom): 0.466
Magnetic moment (μB/atom): 0.048

***

Stability summary: most stable x, least stable w.

***

w:
Rb2NdI5 | PBE-GGA | relaxed

Unit cell a=9.5540 b=10.0763 c=14.9475 alpha=90.00 beta=90.00 gamma=90.00
Atoms (fractional coordinates):
I1 0.0844 0.2500 0.9898
Rb1 0.0808 0.5085 0.1702
I2 0.1702 0.5477 0.4364
I3 0.1004 0.7500 0.6862
Nd1 0.0773 0.2500 0.4937
Nd2 0.9227 0.7500 0.5063
I4 0.8298 0.4523 0.5636
I5 0.8996 0.2500 0.3138
I6 0.6004 0.2500 0.8138
Rb2 0.9192 0.0085 0.8298
Nd3 0.5773 0.7500 0.0063
Rb3 0.5808 0.4915 0.3298
Nd4 0.4227 0.2500 0.9937
I7 0.6420 0.7500 0.7989
I8 0.3298 0.5477 0.9364
I9 0.6702 0.0477 0.0636
I10 0.1420 0.2500 0.7011
I11 0.4156 0.2500 0.4898
I12 0.1702 0.9523 0.4364
I13 0.8298 0.0477 0.5636
I14 0.5844 0.7500 0.5102
I15 0.9156 0.7500 0.0102
I16 0.3996 0.7500 0.1862
I17 0.8580 0.7500 0.2989
Rb4 0.5808 0.0085 0.3298
Rb5 0.4192 0.5085 0.6702
Rb6 0.0808 0.9915 0.1702
I18 0.3298 0.9523 0.9364
Rb7 0.4192 0.9915 0.6702
Rb8 0.9192 0.4915 0.8298
I19 0.3580 0.2500 0.2011
I20 0.6702 0.4523 0.0636

DOS at the Fermi energy (states/eV per atom): 0.000
Magnetic moment (μB/atom): 0.000

***

x:
Rb2NdI5 | PBE-GGA | relaxed

Unit cell a=9.0780 b=9.0810 c=9.0000 alpha=120.31 beta=120.30 gamma=90.00
Atoms (fractional coordinates):
I1 0.2748 0.2748 0.0812
I2 0.7488 0.7491 0.5002
Nd1 0.9838 0.9838 0.9680
Rb1 0.6888 0.1896 0.3777
I3 0.8079 0.8078 0.0841
I4 0.8074 0.2759 0.0828
Rb2 0.1898 0.6888 0.3777
I5 0.2757 0.8071 0.0824

DOS at the Fermi energy (states/eV per atom): 0.000
Magnetic moment (μB/atom): 0.000

***

Stability summary: most stable w, least stable x.

***

w:
Nd4Ru2I5 | PBE-GGA | relaxed

Unit cell a=4.2564 b=8.8373 c=11.5811 alpha=96.84 beta=100.59 gamma=90.00
Atoms (fractional coordinates):
I1 0.5000 0.0000 0.0000
Nd1 0.9729 0.2900 0.9458
Nd2 0.6601 0.5761 0.3201
I2 0.8351 0.1489 0.6702
I3 0.1649 0.8511 0.3298
Nd3 0.0271 0.7100 0.0542
I4 0.1940 0.3271 0.3881
I5 0.8060 0.6729 0.6119
Nd4 0.3399 0.4239 0.6799
Ru1 0.5533 0.5043 0.1067
Ru2 0.4467 0.4957 0.8933

DOS at the Fermi energy (states/eV per atom): 0.394
Magnetic moment (μB/atom): 0.000

***

x:
Nd4Ru2I5 | PBE-GGA | relaxed

Unit cell a=4.2895 b=8.8678 c=11.2345 alpha=113.25 beta=101.01 gamma=90.00
Atoms (fractional coordinates):
I1 0.8324 0.0562 0.6648
Ru1 0.5592 0.5592 0.1184
I2 0.8324 0.6086 0.6648
Nd1 0.6788 0.6788 0.3576
Nd2 0.3212 0.3212 0.6424
I3 0.1676 0.3914 0.3352
Ru2 0.4408 0.4408 0.8816
I4 0.1676 0.9438 0.3352
I5 0.5000 0.0000 0.0000
Nd3 0.0000 0.7052 0.0000
Nd4 0.0000 0.2948 0.0000

DOS at the Fermi energy (states/eV per atom): 0.438
Magnetic moment (μB/atom): 0.000

***

Stability summary: most stable w, least stable x.

***

w:
Nd2ScI | PBE-GGA | relaxed

Unit cell a=3.6204 b=3.6204 c=11.6471 alpha=81.06 beta=81.06 gamma=60.00
Each line ends with the local moment (μB).
Atoms (fractional coordinates):
Nd1 0.0918 0.0918 0.7247  0.07
I1 0.5000 0.5000 0.5000  0.00
Nd2 0.9082 0.9082 0.2753  0.07
Sc1 0.0000 0.0000 0.0000  0.22

DOS at the Fermi energy (states/eV per atom): 1.520
Magnetic moment (μB/atom): 0.141

***

x:
Nd2ScI | PBE-GGA | relaxed

Unit cell a=3.6802 b=3.6802 c=9.3252 alpha=90.00 beta=90.00 gamma=90.00
Atoms (fractional coordinates):
Nd1 0.0000 0.0000 0.7532
Sc1 0.5000 0.5000 0.0000
I1 0.5000 0.5000 0.5000
Nd2 0.0000 0.0000 0.2468

DOS at the Fermi energy (states/eV per atom): 1.215
Magnetic moment (μB/atom): 0.000

***

Stability summary: most stable x, least stable w.

***

w:
NdSmSeI | PBE-GGA | relaxed

Unit cell a=5.3071 b=5.3071 c=5.3071 alpha=60.00 beta=60.00 gamma=60.00
Atoms (fractional coordinates):
Nd1 0.0000 0.0000 0.0000
I1 0.7500 0.7500 0.7500
Sm1 0.5000 0.5000 0.5000
Se1 0.2500 0.2500 0.2500

DOS at the Fermi energy (states/eV per atom): 0.676
Magnetic moment (μB/atom): 0.000

***

x:
NdSmSeI | PBE-GGA | relaxed

Unit cell a=4.0890 b=4.0906 c=8.4372 alpha=90.00 beta=103.96 gamma=120.01
Atoms (fractional coordinates):
Nd1 0.4983 0.1471 0.6606
I1 0.9658 0.3809 0.3623
Sm1 0.1082 0.9521 0.0757
Se1 0.3055 0.5507 0.8711

DOS at the Fermi energy (states/eV per atom): 0.833
Magnetic moment (μB/atom): 0.000

***

Stability summary: most stable x, least stable w.

***

w:
Nd2SiI | PBE-GGA | relaxed

Unit cell a=4.2867 b=4.2867 c=8.2642 alpha=74.97 beta=74.97 gamma=60.00
Atoms (fractional coordinates):
Nd1 0.0658 0.0658 0.8025
I1 0.4987 0.4987 0.5040
Si1 0.6678 0.6678 0.9967
Nd2 0.2678 0.2678 0.1967

DOS at the Fermi energy (states/eV per atom): 0.685
Magnetic moment (μB/atom): 0.000

***

x:
Nd2SiI | PBE-GGA | relaxed

Unit cell a=4.3296 b=4.3296 c=8.1202 alpha=74.54 beta=74.54 gamma=60.00
Atoms (fractional coordinates):
I1 0.5000 0.5000 0.5000
Nd1 0.2675 0.2675 0.1975
Nd2 0.7325 0.7325 0.8025
Si1 0.0000 0.0000 0.0000

DOS at the Fermi energy (states/eV per atom): 0.417
Magnetic moment (μB/atom): 0.000

***

Stability summary: most stable x, least stable w.